A plane-wave DFT calculation with PBE was carried out for a relaxed Nd6Tl5Ga crystal.

Cell lengths 5.493, 7.706, 8.680 Å; angles 90.00, 108.25, 90.00 degrees
Element x y z (fractional)
Nd  0.000  0.242  0.000
Nd  0.000  0.758  0.000
Nd  0.338  0.246  0.676
Nd  0.338  0.754  0.676
Nd  0.662  0.246  0.324
Nd  0.662  0.754  0.324
Tl  0.169  0.500  0.338
Tl  0.170  0.000  0.340
Tl  0.500  0.500  0.000
Tl  0.830  0.000  0.660
Tl  0.831  0.500  0.662
Ga  0.500  0.000  0.000

Values from the calculation:
- energy of formation (eV/atom) = -0.41
- N(E_F) (states/eV per atom) = 0.770
- final energy (Ha/atom) = -0.148


A plane-wave DFT calculation with PBE was carried out for a relaxed BaTlIn2Rh crystal.

Cell lengths 5.223, 5.223, 5.322 Å; angles 90.00, 90.00, 90.00 degrees
Element x y z (fractional)
Ba  0.000  0.000  0.000
Tl  0.500  0.500  0.000
In  0.000  0.500  0.500
In  0.500  0.000  0.500
Rh  0.500  0.500  0.500

Values from the calculation:
- energy above the most stable polymorph in this dataset (kJ per mole of atoms) = 0.0
- energy of formation (eV/atom) = -0.33
- N(E_F) (states/eV per atom) = 0.449
- final energy (Ha/atom) = -0.138